No. 1
Entry from the Alexandria database: a relaxed LiLa2CoN crystal (GGA-PBE).

Lattice parameters (Å, degrees): 5.040 5.040 3.864 90.00 90.00 90.00
Space group P4/mmm (No. 123)
Unique sites:
Li: 0.000 0.000 0.000 x1
La: 0.000 0.500 0.500 x2
Co: 0.500 0.500 0.000 x1
N: 0.000 0.000 0.500 x1

Properties
Raw formation energy: -0.400 eV/atom

No. 2
Entry from the Alexandria database: a relaxed Tb6Nd8Mg crystal (GGA-PBE).

Lattice parameters (Å, degrees): 9.4194 9.4194 6.5437 90.00 90.00 120.00
Space group P-3 (No. 147)
Unique sites:
Tb: 0.0950 0.4449 0.3348 x6
Nd: 0.0390 0.2748 0.8232 x6
Nd: 0.3333 0.6667 0.8635 x2
Mg: 0.0000 0.0000 0.5000 x1

Properties
Formation energy: 1.97 eV/f.u.

No. 3
Entry from the Alexandria database: a relaxed Ac4Y5Tm crystal (GGA-PBE).

Lattice parameters (Å, degrees): 17.743 3.684 11.945 90.00 109.04 90.00
Space group C2/m (No. 12)
Unique sites:
Ac: 0.094 0.000 0.300 x4
Ac: 0.107 0.500 0.796 x4
Y: 0.000 0.500 0.000 x2
Y: 0.191 0.000 0.081 x4
Y: 0.206 0.000 0.613 x4
Tm: 0.000 0.500 0.500 x2

Properties
Formation energy: 1.15 eV/f.u.

No. 4
Entry from the Alexandria database: a relaxed K3Cu2I6 crystal (GGA-PBE).

Lattice parameters (Å, degrees): 5.374 5.374 29.352 90.00 90.00 90.00
Space group I4/mmm (No. 139)
Unique sites:
K: 0.000 0.000 0.000 x2
K: 0.000 0.000 0.178 x4
Cu: 0.000 0.000 0.393 x4
I: 0.000 0.000 0.302 x4
I: 0.000 0.500 0.083 x8

Properties
Raw formation energy: -0.817 eV/atom

No. 5
Entry from the Alexandria database: a relaxed Pr2Y7In2 crystal (GGA-PBE).

Lattice parameters (Å, degrees): 8.643 9.810 8.586 90.00 107.84 90.00
Space group C2/m (No. 12)
Unique sites:
Pr: 0.000 0.179 0.000 x4
Y: 0.000 0.500 0.500 x2
Y: 0.143 0.500 0.913 x4
Y: 0.203 0.180 0.674 x8
In: 0.127 0.000 0.341 x4

Properties
Formation energy: -1.67 eV/f.u.

No. 6
Entry from the Alexandria database: a relaxed PmCd6Ga2 crystal (GGA-PBE).

Lattice parameters (Å, degrees): 4.403 4.403 10.243 90.00 90.00 90.00
Space group P4/mmm (No. 123)
Unique sites:
Pm: 0.000 0.000 0.000 x1
Cd: 0.000 0.000 0.500 x1
Cd: 0.000 0.500 0.280 x4
Cd: 0.500 0.500 0.500 x1
Ga: 0.500 0.500 0.118 x2

Properties
Formation energy: -1.74 eV/f.u.

No. 7
Entry from the Alexandria database: a relaxed K2Sn5Bi crystal (GGA-PBE).

Lattice parameters (Å, degrees): 9.775 11.844 6.708 90.00 133.28 90.00
Space group C2 (No. 5)
Unique sites:
K: 0.000 0.000 0.000 x2
K: 0.000 0.500 0.000 x2
Sn: 0.000 0.121 0.500 x2
Sn: 0.213 0.747 0.490 x4
Sn: 0.213 0.747 0.936 x4
Bi: 0.000 0.385 0.500 x2

Properties
Formation energy: -0.75 eV/f.u.

No. 8
Entry from the Alexandria database: a relaxed K2PPb crystal (GGA-PBE).

Lattice parameters (Å, degrees): 4.727 4.727 10.561 90.00 90.00 90.00
Space group I4/mmm (No. 139)
Unique sites:
K: 0.000 0.500 0.250 x4
P: 0.000 0.000 0.000 x2
Pb: 0.000 0.000 0.500 x2

Properties
Formation energy: 0.18 eV/f.u.

Uncorrected energy values (in eV for the cell shown) by entry order: -29.20, -65.55, -104.15, -59.56, -123.91, -18.04, -53.67, -22.27.
N(E_F) values (in states/eV per atom) by entry order: 0.67, 1.43, 1.67, 0.30, 1.15, 0.22, 0.47, 0.70.